## LiPW2O8 (GGA+U)

Data for an optimized crystal structure of LiPW2O8.

As for the energy above the lowest structure with this stoichiometry: 0.0465 eV/atom. Its crystal system is monoclinic. The calculation puts the calculated density at 5.26 g/cm³. The density of states at the Fermi level is 0.020 states/eV per atom. The total magnetic moment comes out at 0.167 μB per atom.

a b c (Å): 6.8250 5.4405 9.2147
angles (deg): 90.00 99.86 90.00
Last column: nearest neighbours and their distance in Å.
Fractional coordinates of all 24 atoms:
Li: 0.2055 0.2500 0.1228  3 O 2.06-2.11
Li: 0.7945 0.7500 0.8772  3 O 2.06-2.11
P: 0.2795 0.7500 0.8750  4 O 1.53-1.56
P: 0.7205 0.2500 0.1250  4 O 1.53-1.56
W: 0.1415 0.2500 0.4103  6 O 1.93-2.13
W: 0.4483 0.7500 0.2495  3 O 1.86-1.94
W: 0.5517 0.2500 0.7505  3 O 1.86-1.94
W: 0.8585 0.7500 0.5897  6 O 1.93-2.13
O: 0.0000 0.0000 0.5000  2 W 1.93
O: 0.0000 0.5000 0.5000  2 W 1.93
O: 0.0622 0.7500 0.7927  1 P 1.55
O: 0.2617 0.7500 0.0416  1 P 1.56
O: 0.2756 0.0103 0.2969  2 W 1.94-1.99, 1 Li 2.06
O: 0.2756 0.4897 0.2969  2 W 1.94-1.99, 1 Li 2.06
O: 0.3667 0.2500 0.5774  2 W 1.86-1.98
O: 0.3891 0.5160 0.8418  1 P 1.53
O: 0.3891 0.9840 0.8418  1 P 1.53
O: 0.6109 0.0160 0.1582  1 P 1.53
O: 0.6109 0.4840 0.1582  1 P 1.53
O: 0.6333 0.7500 0.4226  2 W 1.86-1.98
O: 0.7244 0.5103 0.7031  2 W 1.94-1.99, 1 Li 2.06
O: 0.7244 0.9897 0.7031  2 W 1.94-1.99, 1 Li 2.06
O: 0.7383 0.2500 0.9584  1 P 1.56
O: 0.9378 0.2500 0.2073  1 P 1.55

## Li2P5WO15 (GGA+U)

Data for an optimized crystal structure of Li2P5WO15.

As for the energy above the lowest structure with this stoichiometry: 0.0423 eV/atom. Its crystal system is monoclinic. The calculation puts the calculated density at 3.28 g/cm³. The density of states at the Fermi level is 0.000 states/eV per atom. The total magnetic moment comes out at 0.130 μB per atom.

a b c (Å): 6.8938 6.8938 14.0303
angles (deg): 97.15 97.15 112.46
Last column: nearest neighbours and their distance in Å.
Fractional coordinates of all 46 atoms:
Li: 0.0804 0.5509 0.1587  3 O 1.85-2.03
Li: 0.1394 0.8606 0.5000  3 O 1.88-2.03
Li: 0.5509 0.0804 0.6587  3 O 1.85-2.03
Li: 0.8606 0.1394 0.0000  3 O 1.88-2.03
P: 0.0968 0.8779 0.7806  4 O 1.50-1.61
P: 0.2612 0.5000 0.9806  4 O 1.49-1.59
P: 0.3708 0.9832 0.9797  4 O 1.48-1.63
P: 0.5000 0.2612 0.4806  4 O 1.49-1.59
P: 0.5040 0.7149 0.2868  4 O 1.49-1.61
P: 0.6218 0.7425 0.5051  3 O 1.48-1.61
P: 0.7149 0.5040 0.7868  4 O 1.49-1.61
P: 0.7425 0.6218 0.0051  3 O 1.48-1.61
P: 0.8779 0.0968 0.2806  4 O 1.50-1.61
P: 0.9832 0.3708 0.4797  4 O 1.48-1.63
W: 0.1428 0.3916 0.7288  6 O 2.08-2.30
W: 0.3916 0.1428 0.2288  6 O 2.08-2.30
O: 0.0631 0.5659 0.4367  1 P 1.48
O: 0.0646 0.1224 0.2314  1 P 1.50
O: 0.1060 0.3531 0.5721  1 P 1.50
O: 0.1224 0.0646 0.7314  1 P 1.50
O: 0.1408 0.4032 0.8777  1 P 1.50
O: 0.1445 0.3911 0.0547  1 P 1.49
O: 0.1658 0.9514 0.8975  2 P 1.61-1.63
O: 0.1984 0.7319 0.7419  1 P 1.52
O: 0.3093 0.7471 0.0046  2 P 1.59-1.61
O: 0.3531 0.1060 0.0721  1 P 1.50
O: 0.3530 0.7978 0.2323  1 P 1.54
O: 0.3911 0.1445 0.5547  1 P 1.49
O: 0.4032 0.1408 0.3777  1 P 1.50
O: 0.4530 0.4833 0.2545  1 P 1.49
O: 0.4833 0.4530 0.7545  1 P 1.49
O: 0.4872 0.4914 0.9887  2 P 1.57-1.61
O: 0.4914 0.4872 0.4887  2 P 1.57-1.61
O: 0.5156 0.7814 0.4002  2 P 1.58-1.66
O: 0.5391 0.8355 0.5834  1 P 1.48
O: 0.5659 0.0631 0.9367  1 P 1.48
O: 0.7319 0.1984 0.2419  1 P 1.52
O: 0.7434 0.8432 0.2697  2 P 1.61
O: 0.7471 0.3093 0.5046  2 P 1.59-1.61
O: 0.7814 0.5156 0.9002  2 P 1.58-1.66
O: 0.7978 0.3530 0.7323  1 P 1.54
O: 0.8048 0.8538 0.0102  1 P 1.48
O: 0.8355 0.5391 0.0834  1 P 1.48
O: 0.8432 0.7434 0.7697  2 P 1.61
O: 0.8538 0.8048 0.5102  1 P 1.48
O: 0.9514 0.1658 0.3975  2 P 1.61-1.63

## Li3P3W2O12 (GGA+U)

Data for an optimized crystal structure of Li3P3W2O12.

As for the energy above the lowest structure with this stoichiometry: 0.0108 eV/atom. Its crystal system is monoclinic. The calculation puts the calculated density at 4.56 g/cm³. The density of states at the Fermi level is 0.000 states/eV per atom. The total magnetic moment comes out at 0.300 μB per atom.

a b c (Å): 8.7150 9.0459 15.1502
angles (deg): 90.00 124.84 90.00
Last column: nearest neighbours and their distance in Å.
Fractional coordinates of all 80 atoms:
Li: 0.0796 0.0195 0.1485  4 O 1.99-2.03
Li: 0.0796 0.4805 0.6485  4 O 1.99-2.03
Li: 0.1422 0.2240 0.8203  4 O 2.02-2.13
Li: 0.1422 0.2760 0.3203  4 O 2.02-2.13
Li: 0.2694 0.0954 0.6852  4 O 1.99-2.13
Li: 0.2694 0.4046 0.1852  4 O 1.99-2.13
Li: 0.7306 0.5954 0.8148  4 O 1.99-2.13
Li: 0.7306 0.9046 0.3148  4 O 1.99-2.13
Li: 0.8578 0.7240 0.6797  4 O 2.02-2.13
Li: 0.8578 0.7760 0.1797  4 O 2.02-2.13
Li: 0.9204 0.5195 0.3515  4 O 1.99-2.03
Li: 0.9204 0.9805 0.8515  4 O 1.99-2.03
P: 0.0347 0.2487 0.9887  4 O 1.54-1.56
P: 0.0347 0.2513 0.4887  4 O 1.54-1.56
P: 0.2334 0.6039 0.3491  4 O 1.52-1.58
P: 0.2334 0.8961 0.8491  4 O 1.52-1.58
P: 0.4559 0.1152 0.3447  4 O 1.51-1.58
P: 0.4559 0.3848 0.8447  4 O 1.51-1.58
P: 0.5441 0.6152 0.1553  4 O 1.51-1.58
P: 0.5441 0.8848 0.6553  4 O 1.51-1.58
P: 0.7666 0.1039 0.1509  4 O 1.52-1.58
P: 0.7666 0.3961 0.6509  4 O 1.52-1.58
P: 0.9653 0.7487 0.5113  4 O 1.54-1.56
P: 0.9653 0.7513 0.0113  4 O 1.54-1.56
W: 0.1481 0.5408 0.8907  6 O 2.11-2.19
W: 0.1481 0.9592 0.3907  6 O 2.11-2.19
W: 0.3627 0.5323 0.6077  6 O 2.13-2.20
W: 0.3627 0.9677 0.1077  6 O 2.13-2.20
W: 0.6373 0.0323 0.8923  6 O 2.13-2.20
W: 0.6373 0.4677 0.3923  6 O 2.13-2.20
W: 0.8519 0.0408 0.6093  6 O 2.11-2.19
W: 0.8519 0.4592 0.1093  6 O 2.11-2.19
O: 0.0024 0.1313 0.5487  1 P 1.54
O: 0.0024 0.3687 0.0487  1 P 1.54
O: 0.1282 0.1829 0.4366  1 P 1.55
O: 0.1282 0.3171 0.9366  1 P 1.55
O: 0.1315 0.7451 0.8079  1 P 1.55
O: 0.1315 0.7549 0.3079  1 P 1.55
O: 0.1329 0.0130 0.7551  1 P 1.58
O: 0.1329 0.4870 0.2551  1 P 1.58
O: 0.1435 0.6649 0.5994  1 P 1.55
O: 0.1435 0.8351 0.0994  1 P 1.55
O: 0.1749 0.1414 0.0801  1 P 1.56
O: 0.1749 0.3586 0.5801  1 P 1.56
O: 0.1987 0.5459 0.4336  1 P 1.56
O: 0.1987 0.9541 0.9336  1 P 1.56
O: 0.2501 0.0724 0.3059  1 P 1.58
O: 0.2501 0.4276 0.8059  1 P 1.58
O: 0.4074 0.5897 0.0358  1 P 1.51
O: 0.4074 0.9103 0.5358  1 P 1.51
O: 0.4388 0.2157 0.8197  1 P 1.56
O: 0.4388 0.2843 0.3197  1 P 1.56
O: 0.4399 0.6107 0.3932  1 P 1.52
O: 0.4399 0.8893 0.8932  1 P 1.52
O: 0.4912 0.5225 0.2205  1 P 1.55
O: 0.4912 0.9775 0.7205  1 P 1.55
O: 0.5088 0.0225 0.2795  1 P 1.55
O: 0.5088 0.4775 0.7795  1 P 1.55
O: 0.5601 0.1107 0.1068  1 P 1.52
O: 0.5601 0.3893 0.6068  1 P 1.52
O: 0.5612 0.7157 0.6803  1 P 1.56
O: 0.5612 0.7843 0.1803  1 P 1.56
O: 0.5926 0.0897 0.4642  1 P 1.51
O: 0.5926 0.4103 0.9642  1 P 1.51
O: 0.7499 0.5724 0.1941  1 P 1.58
O: 0.7499 0.9276 0.6941  1 P 1.58
O: 0.8013 0.0459 0.0664  1 P 1.56
O: 0.8013 0.4541 0.5664  1 P 1.56
O: 0.8251 0.6414 0.4199  1 P 1.56
O: 0.8251 0.8586 0.9199  1 P 1.56
O: 0.8565 0.1649 0.9006  1 P 1.55
O: 0.8565 0.3351 0.4006  1 P 1.55
O: 0.8671 0.5130 0.7449  1 P 1.58
O: 0.8671 0.9870 0.2449  1 P 1.58
O: 0.8685 0.2451 0.6921  1 P 1.55
O: 0.8685 0.2549 0.1921  1 P 1.55
O: 0.8718 0.6829 0.0634  1 P 1.55
O: 0.8718 0.8171 0.5634  1 P 1.55
O: 0.9976 0.6313 0.9513  1 P 1.54
O: 0.9976 0.8687 0.4513  1 P 1.54

## LiP4WO12 (GGA+U)

Data for an optimized crystal structure of LiP4WO12.

As for the energy above the lowest structure with this stoichiometry: 0.0498 eV/atom. Its crystal system is monoclinic. The calculation puts the calculated density at 3.67 g/cm³. The density of states at the Fermi level is 0.000 states/eV per atom. The total magnetic moment comes out at 0.167 μB per atom.

a b c (Å): 6.9558 8.9771 7.3973
angles (deg): 90.00 96.71 90.00
Last column: nearest neighbours and their distance in Å.
Fractional coordinates of all 36 atoms:
Li: 0.2199 0.0000 0.3390  2 O 1.87-1.94
Li: 0.7801 0.5000 0.6610  2 O 1.87-1.94
P: 0.0684 0.4833 0.3752  4 O 1.50-1.61
P: 0.0869 0.8337 0.9646  4 O 1.48-1.62
P: 0.4285 0.6334 0.9261  4 O 1.50-1.61
P: 0.4415 0.3280 0.3872  4 O 1.47-1.65
P: 0.5585 0.8280 0.6128  4 O 1.47-1.65
P: 0.5715 0.1334 0.0739  4 O 1.50-1.61
P: 0.9131 0.3337 0.0354  4 O 1.48-1.62
P: 0.9316 0.9833 0.6248  4 O 1.50-1.61
W: 0.2344 0.2855 0.7462  6 O 2.13-2.23
W: 0.7656 0.7855 0.2538  6 O 2.13-2.23
O: 0.0082 0.6393 0.3258  1 P 1.50
O: 0.0532 0.4422 0.5726  1 P 1.52
O: 0.0654 0.8698 0.7480  2 P 1.59-1.62
O: 0.1153 0.2920 0.9986  1 P 1.51
O: 0.1887 0.9492 0.0824  1 P 1.48
O: 0.2113 0.6831 0.9526  2 P 1.61
O: 0.2845 0.4603 0.3234  2 P 1.61-1.65
O: 0.3254 0.2128 0.4814  1 P 1.53
O: 0.3843 0.8928 0.5107  1 P 1.47
O: 0.4090 0.4874 0.8266  1 P 1.50
O: 0.4491 0.1420 0.8929  1 P 1.50
O: 0.4902 0.2612 0.1979  2 P 1.60-1.61
O: 0.5098 0.7612 0.8021  2 P 1.60-1.61
O: 0.5509 0.6420 0.1071  1 P 1.50
O: 0.5910 0.9874 0.1734  1 P 1.50
O: 0.6157 0.3928 0.4893  1 P 1.47
O: 0.6746 0.7128 0.5186  1 P 1.53
O: 0.7155 0.9603 0.6766  2 P 1.61-1.65
O: 0.7887 0.1831 0.0474  2 P 1.61
O: 0.8113 0.4492 0.9176  1 P 1.48
O: 0.8847 0.7920 0.0014  1 P 1.51
O: 0.9346 0.3698 0.2520  2 P 1.59-1.62
O: 0.9468 0.9422 0.4274  1 P 1.52
O: 0.9918 0.1393 0.6742  1 P 1.50